Entry 1:
DFT (PBE-GGA) results for NdDy2Pu3Se6 after structural relaxation.

```
NdDy2Pu3Se6
1.0
-1.0507 2.5602 3.0621
-7.3126 -3.8086 0.6751
5.7415 -5.9349 4.1506
Se Dy Pu Nd
6 2 3 1
Cartesian
-0.7691 -6.1817 7.6861 Se
-3.0239 -2.5034 3.8370 Se
-1.8527 -1.0016 0.2017 Se
-3.2129 -6.5445 4.3694 Se
0.4022 -4.6799 4.0508 Se
0.5911 -0.6388 3.5185 Se
-0.7159 -2.8293 2.1199 Dy
-1.9059 -4.3540 5.7680 Dy
-4.3839 -4.7132 2.4364 Pu
-4.1817 -0.6242 1.8686 Pu
1.7621 -2.4701 5.4515 Pu
-0.5254 1.2801 1.5310 Nd
```

Total moment: 5.8 μB/cell
Symmetry: C2/m (12)
Final energy: -97.97 eV/f.u.


Entry 2:
DFT (PBE-GGA) results for Mg2ZnSb after structural relaxation.

```
Mg2ZnSb
1.0
3.9039 0.0000 0.0000
0.0000 3.9039 0.0000
0.0000 0.0000 5.8098
Mg Sb Zn
2 1 1
Cartesian
1.9520 1.9520 1.5446 Mg
0.0000 0.0000 5.6780 Mg
0.0000 0.0000 2.8241 Sb
1.9520 1.9520 4.4780 Zn
```

Total moment: 0.0 μB/cell
Symmetry: P4mm (99)
Final energy: -8.74 eV/f.u.


Entry 3:
DFT (PBE-GGA) results for TiSiPd2 after structural relaxation.

```
TiSiPd2
1.0
-2.8235 0.5272 2.5697
-2.5841 0.0910 -2.8579
-3.7227 -8.3010 0.5030
Pd Ti Si
4 2 2
Cartesian
-2.9259 -1.9474 -1.3144 Pd
-2.9911 -1.7395 1.3498 Pd
-7.4987 -5.6857 0.1527 Pd
-4.8448 -5.9931 0.2416 Pd
0.0000 0.0000 0.0000 Ti
-4.6250 -3.7323 1.4643 Ti
-4.5053 -3.9505 -1.2495 Si
-2.7038 0.3091 -0.1441 Si
```

Total moment: 0.0 μB/cell
Symmetry: I-42d (122)
Final energy: -25.12 eV/f.u.


Entry 4:
DFT (PBE-GGA) results for K2SrMgF after structural relaxation.

```
K2SrMgF
1.0
7.9750 0.0000 0.0000
0.0000 6.7478 0.0000
0.0000 0.0000 7.9750
Sr Mg K F
1 1 2 1
Cartesian
0.0000 0.0000 0.0000 Sr
0.0000 3.3739 0.0000 Mg
3.9875 0.0000 0.0000 K
0.0000 0.0000 3.9875 K
3.9875 3.3739 3.9875 F
```

Total moment: 0.0 μB/cell
Symmetry: P4/mmm (123)
Final energy: -6.75 eV/f.u.


Entry 5:
DFT (PBE-GGA) results for La6In2Ag after structural relaxation.

```
La6In2Ag
1.0
5.5743 0.0000 0.2969
0.0000 9.9058 0.0000
-0.5413 0.0000 10.1309
La In Ag
12 4 2
Cartesian
-0.2222 3.2220 4.1625 La
5.4755 0.0705 2.1182 La
-0.4424 9.8353 8.3096 La
2.5705 8.4082 4.1975 La
2.7387 8.1754 1.0509 La
2.4626 1.4977 6.2303 La
5.2552 6.6838 6.2653 La
2.2943 1.7304 9.3769 La
2.4176 4.8823 7.0361 La
2.6154 5.0235 3.3917 La
5.0870 6.4510 9.4120 La
-0.0539 3.4548 1.0158 La
-0.1316 6.6719 2.4863 In
2.3849 8.1871 7.7007 In
2.6481 1.7187 2.7271 In
5.1646 3.2340 7.9415 In
2.7871 4.9529 0.1485 Ag
-0.2706 0.0000 5.0654 Ag
```

Total moment: 0.0 μB/cell
Symmetry: Pnnm (58)
Energy relative to the elements: -0.25 eV per atom
Final energy: -40.11 eV/f.u.


Entry 6:
DFT (PBE-GGA) results for HfAlAg2Hg after structural relaxation.

```
HfAlAg2Hg
1.0
-5.1324 -0.3905 1.1706
-0.8407 -2.8425 -4.6343
0.9338 -4.5025 2.5923
Ag Hf Hg Al
2 1 1 1
Cartesian
0.4669 -2.2513 1.2961 Ag
-2.5662 -0.1952 0.5853 Ag
0.0000 0.0000 0.0000 Hf
-2.5197 -3.8678 -0.4357 Hg
-0.4204 -1.4213 -2.3171 Al
```

Total moment: 0.0 μB/cell
Symmetry: P4/mmm (123)
Energy relative to the elements: 1.07 eV per atom
Final energy: -14.33 eV/f.u.


Entry 7:
DFT (PBE-GGA) results for Ca4TlHg after structural relaxation.

```
Ca4TlHg
1.0
3.8400 -0.0007 0.0002
0.0007 3.8400 0.0002
-0.0007 -0.0007 13.4165
Ca Hg Tl
4 1 1
Cartesian
3.8401 3.8387 8.5200 Ca
1.9196 1.9189 11.4880 Ca
1.9204 1.9197 1.9289 Ca
-0.0001 -0.0001 4.8968 Ca
1.9200 1.9193 6.7084 Hg
0.0000 0.0000 0.0000 Tl
```

Total moment: 0.0 μB/cell
Symmetry: P4/mmm (123)
Energy relative to the elements: -0.35 eV per atom
Final energy: -12.77 eV/f.u.


Entry 8:
DFT (PBE-GGA) results for CdPd2Se after structural relaxation.

```
CdPd2Se
1.0
-2.8152 0.3564 -1.7968
-1.8997 -3.4428 2.2936
-1.5985 2.9388 3.0873
Pd Cd Se
2 1 1
Cartesian
-0.7992 1.4694 1.5436 Pd
-0.9499 -1.7214 1.1468 Pd
-1.4076 0.1782 -0.8984 Cd
-3.1567 -0.0738 1.7920 Se
```

Total moment: 0.0 μB/cell
Symmetry: P4/mmm (123)
Final energy: -15.69 eV/f.u.


What is the final energy in the eighth record? -15.69 eV/f.u.